## RbGaTe2 (PBE)

Data for crystalline RbGaTe2 at its relaxed geometry.

- DFT total energy (eV per atom) = -2.60
- calculated density (g/cm3) = 4.636
- total magnetization (μB/cell) = 0.000
- uncorrected formation energy (kcal/mol of atoms) = -0.727

```
RbGaTe2
1.0
4.694 0.000 0.000
0.000 4.694 0.000
0.000 0.000 6.671
Ga Rb Te
1 1 2
Cartesian
0.000 0.000 3.335
2.347 2.347 0.000
2.347 2.347 3.335
0.000 0.000 0.000
```